Below is TcPPt2 after structural relaxation, with properties calculated at the PBE-GGA level.

**DOS at the Fermi energy**: 0.86 states/eV/atom
**Total moment**: 0.00 μB/cell
**Calculated total energy**: -27.5 eV for the cell shown
**E_form**: 1.83 kcal/mol of atoms

abc: 2.8165 3.9618 5.3486
angles: 90.00 90.00 90.00
Element x y z (fractional)
P  0.5000  0.5000  0.5000
Tc  0.5000  0.5000  0.0000
Pt  0.0000  0.0000  0.7538
Pt  0.0000  0.0000  0.2462


Below is TcPPt2 after structural relaxation, with properties calculated at the PBE-GGA level.

**DOS at the Fermi energy**: 0.86 states/eV/atom
**Total moment**: 0.00 μB/cell
**Calculated total energy**: -27.7 eV for the cell shown
**E_form**: 0.79 kcal/mol of atoms

abc: 8.6212 8.6212 8.6212
angles: 18.97 18.97 18.97
Element x y z (fractional)
Pt  0.2553  0.2553  0.2553
Pt  0.7447  0.7447  0.7447
Tc  0.5000  0.5000  0.5000
P  0.0000  0.0000  0.0000


Below is Tc2PPt after structural relaxation, with properties calculated at the PBE-GGA level.

**DOS at the Fermi energy**: 0.86 states/eV/atom
**Total moment**: 0.00 μB/cell
**Calculated total energy**: -32.7 eV for the cell shown
**E_form**: -2.91 kcal/mol of atoms

abc: 4.7784 4.7784 4.6165
angles: 88.96 88.96 35.16
Element x y z (fractional)
Tc  0.0119  0.0119  0.0397
Pt  0.2860  0.2860  0.7745
P  0.4720  0.4720  0.4232
Tc  0.7301  0.7301  0.2626


Below is TcPPt3 after structural relaxation, with properties calculated at the PBE-GGA level.

**DOS at the Fermi energy**: 1.15 states/eV/atom
**Total moment**: 0.00 μB/cell
**Calculated total energy**: -26.2 eV for the cell shown
**E_form**: 35.29 kcal/mol of atoms

abc: 4.7764 4.7764 4.7764
angles: 90.00 90.00 90.00
Element x y z (fractional)
Tc  0.0000  0.0000  0.0000
Pt  0.0000  0.5000  0.0000
P  0.5000  0.5000  0.5000
Pt  0.0000  0.0000  0.5000
Pt  0.5000  0.0000  0.0000


Below is TcP4Pt after structural relaxation, with properties calculated at the PBE-GGA level.

**DOS at the Fermi energy**: 0.61 states/eV/atom
**Total moment**: 0.00 μB/cell
**Calculated total energy**: -33.8 eV for the cell shown
**E_form**: 16.47 kcal/mol of atoms

abc: 4.9384 4.9384 4.9384
angles: 60.00 60.00 60.00
Element x y z (fractional)
Pt  0.7500  0.7500  0.7500
P  0.3745  0.3745  0.8766
Tc  0.0000  0.0000  0.0000
P  0.8766  0.3745  0.3745
P  0.3745  0.8766  0.3745
P  0.3745  0.3745  0.3745


Below is TcPPt2 after structural relaxation, with properties calculated at the PBE-GGA level.

**DOS at the Fermi energy**: 0.84 states/eV/atom
**Total moment**: 0.00 μB/cell
**Calculated total energy**: -27.4 eV for the cell shown
**E_form**: 2.48 kcal/mol of atoms

abc: 2.8371 2.8371 8.4906
angles: 90.00 90.00 117.93
Element x y z (fractional)
Pt  0.0000  0.0000  0.0298
P  0.5000  0.5000  0.2584
Tc  0.0000  0.0000  0.4669
Pt  0.5000  0.5000  0.7449


Below is Tc2PPt after structural relaxation, with properties calculated at the PBE-GGA level.

**DOS at the Fermi energy**: 0.83 states/eV/atom
**Total moment**: 0.00 μB/cell
**Calculated total energy**: -32.0 eV for the cell shown
**E_form**: 1.27 kcal/mol of atoms

abc: 4.7085 4.7085 4.7085
angles: 131.86 131.86 70.45
Element x y z (fractional)
Pt  0.7500  0.2500  0.5000
Tc  0.2500  0.7500  0.5000
Tc  0.0000  0.0000  0.0000
P  0.5000  0.5000  0.0000


Below is TcPPt after structural relaxation, with properties calculated at the PBE-GGA level.

**DOS at the Fermi energy**: 0.74 states/eV/atom
**Total moment**: 0.00 μB/cell
**Calculated total energy**: -22.3 eV for the cell shown
**E_form**: -3.89 kcal/mol of atoms

abc: 3.9448 3.9448 3.3081
angles: 90.00 90.00 120.00
Element x y z (fractional)
Pt  0.3333  0.6667  0.2772
P  0.0000  0.0000  0.9439
Tc  0.6667  0.3333  0.7789


> What is the formula in the third record?

Tc2PPt


> What is the formula in the fourth record?

TcPPt3


> What is the E_form in the fourth record?

35.29 kcal/mol of atoms